No. 1
Density functional theory data (PBE) for a relaxed CsSeI2N crystal.

a = 7.3094 Å, b = 7.3094 Å, c = 4.6097 Å
α = 90.00°, β = 90.00°, γ = 90.00°
Last column: nearest neighbours and their distance in Å.
Space group P4/mmm (No. 123)
One atom of each set of equivalent atoms:
Cs: 0.0000 0.0000 0.0000 [1 per cell]  2 N 2.30
Se: 0.5000 0.5000 0.5000 [1 per cell]  8 I 4.32, 2 Se 4.61
I: 0.0000 0.5000 0.0000 [2 per cell]  2 Cs 3.65
N: 0.0000 0.0000 0.5000 [1 per cell]  2 Cs 2.30

Results
E_form (uncorrected): 698 kJ/mol of formula units
crystal system: tetragonal
total moment: 3.5 μB/f.u.
E_tot: -8.53 eV for the cell shown
E above lowest polymorph: 1344 meV/atom

---

No. 2
Density functional theory data (PBE) for a relaxed KRbTl crystal.

a = 4.4561 Å, b = 4.4561 Å, c = 15.8959 Å
α = 90.00°, β = 90.00°, γ = 90.00°
Last column: nearest neighbours and their distance in Å.
Space group I4mm (No. 107)
One atom of each set of equivalent atoms:
K: 0.0000 0.0000 0.0000 [2 per cell]  4 Tl 3.75
Rb: 0.0000 0.0000 0.2725 [2 per cell]  4 Tl 3.90, 1 K 4.33
Tl: 0.0000 0.0000 0.6277 [2 per cell]  4 K 3.75, 4 Rb 3.90

Results
crystal system: tetragonal
total moment: 0.0 μB/f.u.
E_tot: -8.80 eV for the cell shown
E above lowest polymorph: 65 meV/atom

---

No. 3
Density functional theory data (PBE) for a relaxed CsNaGa2Ni crystal.

a = 4.7358 Å, b = 4.7358 Å, c = 5.7539 Å
α = 90.00°, β = 90.00°, γ = 90.00°
Last column: nearest neighbours and their distance in Å.
Space group P4/mmm (No. 123)
One atom of each set of equivalent atoms:
Cs: 0.0000 0.0000 0.0000 [1 per cell]  4 Na 3.35, 8 Ga 3.73
Na: 0.5000 0.5000 0.0000 [1 per cell]  2 Ni 2.88
Ga: 0.0000 0.5000 0.5000 [2 per cell]  2 Ni 2.37
Ni: 0.5000 0.5000 0.5000 [1 per cell]  4 Ga 2.37

Results
crystal system: tetragonal
total moment: 0.0 μB/f.u.
E_tot: -14.11 eV for the cell shown